An optimized crystal structure of Pr2Mo4O15, computed with PBE with a Hubbard U.

Fermi-level density of states = 0.00 states/eV per cell
space group = P-1, No. 2
DFT total energy = -7.44 eV/atom

a = 7.540 Å, b = 7.675 Å, c = 12.003 Å
α = 88.91°, β = 84.04°, γ = 84.26°
Element x y z (fractional)
1 Pr 0.181 0.088 0.223
2 Pr 0.252 0.586 0.778
3 Pr 0.748 0.414 0.222
4 Pr 0.819 0.912 0.777
5 Mo 0.062 0.751 0.475
6 Mo 0.230 0.570 0.128
7 Mo 0.271 0.073 0.871
8 Mo 0.403 0.333 0.468
9 Mo 0.597 0.667 0.532
10 Mo 0.729 0.927 0.129
11 Mo 0.770 0.430 0.872
12 Mo 0.938 0.249 0.525
13 O 0.077 0.407 0.180
14 O 0.082 0.739 0.623
15 O 0.122 0.949 0.406
16 O 0.144 0.905 0.817
17 O 0.166 0.782 0.186
18 O 0.168 0.288 0.554
19 O 0.203 0.573 0.413
20 O 0.213 0.098 0.017
21 O 0.226 0.592 0.981
22 O 0.228 0.283 0.805
23 O 0.362 0.237 0.340
24 O 0.418 0.521 0.597
25 O 0.450 0.491 0.158
26 O 0.466 0.829 0.471
27 O 0.498 0.001 0.157
28 O 0.502 0.999 0.843
29 O 0.534 0.171 0.529
30 O 0.550 0.509 0.842
31 O 0.582 0.479 0.403
32 O 0.638 0.763 0.660
33 O 0.772 0.717 0.195
34 O 0.774 0.408 0.019
35 O 0.787 0.902 0.983
36 O 0.797 0.427 0.587
37 O 0.832 0.712 0.446
38 O 0.834 0.218 0.814
39 O 0.856 0.095 0.183
40 O 0.878 0.051 0.594
41 O 0.918 0.261 0.377
42 O 0.923 0.593 0.820